(1)
This record from the Alexandria database describes La6Os2RhBr3 after structural relaxation. The functional is PBE. Values from VASP.

## Properties
For the density, the calculation gives 7.17 Mg/m³. For the uncorrected formation energy, the calculation gives -958 meV per atom. The crystal system is monoclinic. Its space group is No. 12. The density of states at the Fermi level comes out at 0.5799 states/eV/atom.

The structure in Quantum ESPRESSO input format:
```
&SYSTEM
  ibrav = 0, nat = 12, ntyp = 4
/
ATOMIC_SPECIES
La 138.91 La.upf
Os 190.23 Os.upf
Rh 102.91 Rh.upf
Br 79.90 Br.upf
CELL_PARAMETERS angstrom
3.633 -6.293 0.000
3.633 6.293 0.000
-2.424 0.000 7.888
ATOMIC_POSITIONS crystal
La 0.095 0.435 0.804
La 0.226 0.226 0.196
La 0.435 0.095 0.804
La 0.565 0.905 0.196
La 0.774 0.774 0.804
La 0.905 0.565 0.196
Os 0.167 0.833 0.000
Os 0.833 0.167 0.000
Rh 0.500 0.500 0.000
Br 0.000 0.000 0.500
Br 0.333 0.667 0.500
Br 0.667 0.333 0.500
```

---

(2)
This record from the Alexandria database describes La4OsRuBr2 after structural relaxation. The functional is PBE. Values from VASP.

## Properties
For the density, the calculation gives 7.00 Mg/m³. For the uncorrected formation energy, the calculation gives -859 meV per atom. The crystal system is monoclinic. Its space group is No. 10. The density of states at the Fermi level comes out at 0.5723 states/eV/atom.

The structure in Quantum ESPRESSO input format:
```
&SYSTEM
  ibrav = 0, nat = 8, ntyp = 4
/
ATOMIC_SPECIES
La 138.91 La.upf
Os 190.23 Os.upf
Ru 101.07 Ru.upf
Br 79.90 Br.upf
CELL_PARAMETERS angstrom
7.262 0.000 0.000
0.000 4.193 0.000
-2.419 0.000 7.840
ATOMIC_POSITIONS crystal
La 0.232 0.000 0.194
La 0.268 0.500 0.805
La 0.732 0.500 0.195
La 0.768 0.000 0.806
Os 0.500 0.000 0.000
Ru 0.000 0.500 0.000
Br 0.000 0.000 0.500
Br 0.500 0.500 0.500
```